[1]
{"formula": "CeAl2Ag", "functional": "GGA-PBE", "state": "optimized geometry", "lattice": [[4.6802, 0.0000, 0.0000], [0.0000, 10.4867, 0.0000], [0.0000, 0.0000, 6.8170]], "species": ["Ce", "Ce", "Ce", "Ce", "Al", "Al", "Al", "Al", "Al", "Al", "Al", "Al", "Ag", "Ag", "Ag", "Ag"], "fractional_positions": [[0.0000, 0.0935, 0.2500], [0.0000, 0.9065, 0.7500], [0.5000, 0.4065, 0.7500], [0.5000, 0.5935, 0.2500], [0.0000, 0.3796, 0.0543], [0.0000, 0.3796, 0.4457], [0.0000, 0.6204, 0.5543], [0.0000, 0.6204, 0.9457], [0.5000, 0.1204, 0.5543], [0.5000, 0.1204, 0.9457], [0.5000, 0.8796, 0.0543], [0.5000, 0.8796, 0.4457], [0.0000, 0.2026, 0.7500], [0.0000, 0.7974, 0.2500], [0.5000, 0.2974, 0.2500], [0.5000, 0.7026, 0.7500]], "vol_a3_per_atom": 20.911, "m_tot_mub_per_atom": 0.2291, "e_form_mev_per_atom": -311, "dos_at_fermi_per_ev_atom": 1.604, "e_above_lowest_polymorph_mev_per_atom": 0, "space_group": "Cmcm (63)"}

[2]
{"formula": "Ce2Al3Ag2", "functional": "GGA-PBE", "state": "optimized geometry", "lattice": [[10.8436, 0.0000, 0.0000], [0.0000, 4.4955, 0.0000], [-2.9338, 0.0000, 6.1562]], "species": ["Ce", "Ce", "Ce", "Ce", "Al", "Al", "Al", "Al", "Al", "Al", "Ag", "Ag", "Ag", "Ag"], "fractional_positions": [[0.1562, 0.0000, 0.2883], [0.3438, 0.5000, 0.7117], [0.6562, 0.5000, 0.2883], [0.8438, 0.0000, 0.7117], [0.0000, 0.5000, 0.5000], [0.0966, 0.5000, 0.9320], [0.4034, 0.0000, 0.0680], [0.5000, 0.0000, 0.5000], [0.5966, 0.0000, 0.9320], [0.9034, 0.5000, 0.0680], [0.1436, 0.0000, 0.7542], [0.3564, 0.5000, 0.2458], [0.6436, 0.5000, 0.7542], [0.8564, 0.0000, 0.2458]], "vol_a3_per_atom": 21.436, "m_tot_mub_per_atom": 0.2014, "e_form_mev_per_atom": -284, "dos_at_fermi_per_ev_atom": 1.752, "space_group": "C2/m (12)"}

[3]
{"formula": "CeAlAg3", "functional": "GGA-PBE", "state": "optimized geometry", "lattice": [[5.9612, 0.0000, 0.0000], [0.0000, 5.8072, 0.0000], [-0.3103, 0.0000, 6.0311]], "species": ["Ce", "Ce", "Al", "Al", "Ag", "Ag", "Ag", "Ag", "Ag", "Ag"], "fractional_positions": [[0.1563, 0.2500, 0.1664], [0.8437, 0.7500, 0.8336], [0.3690, 0.7500, 0.0524], [0.6310, 0.2500, 0.9476], [0.0735, 0.7500, 0.3590], [0.3432, 0.0035, 0.6798], [0.3432, 0.4965, 0.6798], [0.6568, 0.5035, 0.3202], [0.6568, 0.9965, 0.3202], [0.9265, 0.2500, 0.6410]], "vol_a3_per_atom": 20.878, "m_tot_mub_per_atom": 0.2006, "e_form_mev_per_atom": -160, "dos_at_fermi_per_ev_atom": 1.537, "e_above_lowest_polymorph_mev_per_atom": 0, "space_group": "P2_1/m (11)"}

[4]
{"formula": "Ce15Al4Ag", "functional": "GGA-PBE", "state": "optimized geometry", "lattice": [[4.6725, 0.0000, 0.0000], [0.0000, 4.6725, 0.0000], [0.0000, 0.0000, 23.5277]], "species": ["Ce", "Ce", "Ce", "Ce", "Ce", "Ce", "Ce", "Ce", "Ce", "Ce", "Ce", "Ce", "Ce", "Ce", "Ce", "Al", "Al", "Al", "Al", "Ag"], "fractional_positions": [[0.0000, 0.0000, 0.0000], [0.0000, 0.0000, 0.2024], [0.0000, 0.0000, 0.4011], [0.0000, 0.0000, 0.5989], [0.0000, 0.0000, 0.7976], [0.0000, 0.5000, 0.1042], [0.0000, 0.5000, 0.3013], [0.0000, 0.5000, 0.5000], [0.0000, 0.5000, 0.6987], [0.0000, 0.5000, 0.8958], [0.5000, 0.0000, 0.1042], [0.5000, 0.0000, 0.3013], [0.5000, 0.0000, 0.5000], [0.5000, 0.0000, 0.6987], [0.5000, 0.0000, 0.8958], [0.5000, 0.5000, 0.2013], [0.5000, 0.5000, 0.4005], [0.5000, 0.5000, 0.5995], [0.5000, 0.5000, 0.7987], [0.5000, 0.5000, 0.0000]], "vol_a3_per_atom": 25.683, "m_tot_mub_per_atom": 0.6189, "e_form_mev_per_atom": -108, "dos_at_fermi_per_ev_atom": 2.936, "space_group": "P4/mmm (123)"}